# HfTi9In2

HfTi9In2 after structural relaxation (PBE, the Alexandria database).

The structure in extended XYZ format:
```
12
Lattice="2.810 1.622 8.229 -2.810 1.622 8.229 0.000 -3.245 8.229" Properties=species:S:1:pos:R:3 pbc="T T T"
Hf 0.000 0.000 0.000
Ti -1.414 -0.816 10.238
Ti 0.000 0.000 8.204
Ti 0.000 -1.632 14.448
Ti -1.414 0.816 14.448
Ti 0.000 0.000 12.343
Ti 1.414 -0.816 10.238
Ti 0.000 1.632 10.238
Ti 0.000 0.000 16.482
Ti 1.414 0.816 14.448
In 0.000 0.000 3.442
In 0.000 0.000 21.244
```

ΔE_f	123	meV/atom
total magnetic moment	1.74	μB per formula unit